Run i
{"formula": "Zn2Au2Se", "functional": "GGA-PBE", "state": "relaxed", "cell": [[-5.1643, -5.9208, -0.2452], [5.7559, -5.0892, 1.6602], [-0.5203, 0.3364, 2.8353]], "species": ["Zn", "Zn", "Zn", "Zn", "Au", "Au", "Au", "Au", "Se", "Se"], "frac_coords": [[0.1632, 0.6632, 0.5000], [0.6632, 0.8368, 0.5000], [0.8368, 0.3368, 0.5000], [0.3368, 0.1632, 0.5000], [0.3643, 0.8643, 0.0000], [0.8643, 0.6357, 0.0000], [0.6357, 0.1357, 0.0000], [0.1357, 0.3643, 0.0000], [0.0000, 0.0000, 0.0000], [0.5000, 0.5000, 0.0000]], "volume_a3_per_cell": 179.3, "dos_ef_per_ev_cell": 3.41}


Run ii
{"formula": "Zn2Au2Se", "functional": "GGA-PBE", "state": "relaxed", "cell": [[-0.0522, 1.8039, 3.3187], [-3.5144, 1.1935, -0.7040], [-4.1712, -3.8424, 4.1730]], "species": ["Zn", "Zn", "Au", "Au", "Se"], "frac_coords": [[0.7500, 0.2500, 0.5000], [0.2500, 0.7500, 0.5000], [0.3906, 0.3906, 0.2189], [0.6094, 0.6094, 0.7811], [0.0000, 0.0000, 0.0000]], "volume_a3_per_cell": 93.0, "dos_ef_per_ev_cell": 1.38}


Which one sits at the top of the stability order? run ii does.